(1)
A plane-wave DFT calculation with PBE was carried out for crystalline AlTlCu2 at its relaxed geometry.

Cell lengths 6.4536, 6.4536, 6.4536 Å; angles 90.00, 90.00, 90.00 degrees
Closest atoms and distances in Å follow each position.
Space group F-43m (No. 216)
Inequivalent atoms, fractional coordinates:
1 Al 0.0000 0.0000 0.0000 [4 per cell]  4 Cu 2.79, 4 Tl 2.79
2 Tl 0.2500 0.2500 0.7500 [4 per cell]  4 Al 2.79, 4 Cu 2.79
3 Cu 0.0000 0.0000 0.5000 [4 per cell]  4 Tl 2.79, 4 Cu 2.79
4 Cu 0.2500 0.2500 0.2500 [4 per cell]  4 Al 2.79, 4 Cu 2.79

Values from the calculation:
As for the formation enthalpy at 0 K: 0.3574 eV per atom. Its energy above the most stable polymorph in this dataset is 0.252 eV/atom. As for the total magnetization: 0.000 μB/atom. The density of states at the Fermi level comes out at 8.928 states/eV/cell.


(2)
A plane-wave DFT calculation with PBE was carried out for crystalline Ge2BI at its relaxed geometry.

Cell lengths 6.2765, 6.2765, 8.9379 Å; angles 90.00, 90.00, 90.00 degrees
Closest atoms and distances in Å follow each position.
Space group I-42d (No. 122)
Inequivalent atoms, fractional coordinates:
1 Ge 0.1288 0.2500 0.1250 [8 per cell]  2 B 2.09
2 B 0.0000 0.0000 0.0000 [4 per cell]  4 Ge 2.09
3 I 0.0000 0.0000 0.5000 [4 per cell]  4 Ge 3.02

Values from the calculation:
The formation energy from raw total energies is 0.498 eV/atom. Its energy above the most stable polymorph in this dataset is 0.000 eV/atom. As for the total magnetization: 0.000 μB/atom. The density of states at the Fermi level comes out at 7.471 states/eV/cell.


(3)
A plane-wave DFT calculation with PBE was carried out for crystalline PrNd2TeO8 at its relaxed geometry.

Cell lengths 4.3016, 7.3679, 5.4604 Å; angles 90.00, 94.73, 90.00 degrees
Closest atoms and distances in Å follow each position.
Space group P2/m (No. 10)
Inequivalent atoms, fractional coordinates:
1 Pr 0.0000 0.0000 0.0000 [1 per cell]  6 O 2.38-2.57
2 Nd 0.5000 0.2534 0.5000 [2 per cell]  6 O 2.31-2.51
3 Te 0.0000 0.5000 0.0000 [1 per cell]  6 O 1.95-1.99
4 O 0.0640 0.2984 0.7658 [4 per cell]  1 Te 1.99
5 O 0.4061 0.5000 0.1859 [2 per cell]  1 Te 1.95
6 O 0.4806 0.0000 0.2507 [2 per cell]  2 Nd 2.31, 1 Pr 2.38

Values from the calculation:
The formation energy from raw total energies is -2.361 eV/atom. As for the total magnetization: 0.079 μB/atom. The density of states at the Fermi level comes out at 2.416 states/eV/cell.


(4)
A plane-wave DFT calculation with PBE was carried out for crystalline CaPmHoMg at its relaxed geometry.

Cell lengths 3.6301, 3.6301, 9.7465 Å; angles 90.00, 90.00, 90.00 degrees
Closest atoms and distances in Å follow each position.
Space group P4mm (No. 99)
Inequivalent atoms, fractional coordinates:
1 Ca 0.0000 0.0000 0.0000 [1 per cell]  4 Mg 3.46, 4 Ca 3.63, 4 Pm 3.86
2 Pm 0.5000 0.5000 0.7042 [1 per cell]  4 Ho 3.53, 4 Pm 3.63, 4 Ca 3.86
3 Ho 0.0000 0.0000 0.4563 [1 per cell]  4 Mg 3.33, 4 Pm 3.53, 4 Ho 3.63
4 Mg 0.5000 0.5000 0.2386 [1 per cell]  4 Ho 3.33, 4 Ca 3.46, 4 Mg 3.63

Values from the calculation:
As for the formation enthalpy at 0 K: -0.0123 eV per atom. Its energy above the most stable polymorph in this dataset is 0.000 eV/atom. As for the total magnetization: 0.000 μB/atom. The density of states at the Fermi level comes out at 5.634 states/eV/cell.


(5)
A plane-wave DFT calculation with PBE was carried out for crystalline LiCa2SiPt at its relaxed geometry.

Cell lengths 5.2515, 5.2515, 4.2187 Å; angles 90.00, 90.00, 90.00 degrees
Closest atoms and distances in Å follow each position.
Space group P4/mmm (No. 123)
Inequivalent atoms, fractional coordinates:
1 Li 0.0000 0.0000 0.0000 [1 per cell]  2 Pt 2.11
2 Ca 0.0000 0.5000 0.0000 [2 per cell]  2 Li 2.63
3 Si 0.5000 0.5000 0.5000 [1 per cell]  8 Ca 3.37, 4 Pt 3.71
4 Pt 0.0000 0.0000 0.5000 [1 per cell]  2 Li 2.11

Values from the calculation:
The formation energy from raw total energies is 0.097 eV/atom. As for the total magnetization: 0.000 μB/atom. The density of states at the Fermi level comes out at 3.742 states/eV/cell.


(6)
A plane-wave DFT calculation with PBE was carried out for crystalline Fe4CoPd15 at its relaxed geometry.

Cell lengths 3.8961, 3.8961, 19.4438 Å; angles 90.00, 90.00, 90.00 degrees
Closest atoms and distances in Å follow each position.
Space group P4/mmm (No. 123)
Inequivalent atoms, fractional coordinates:
1 Fe 0.0000 0.0000 0.1003 [2 per cell]  12 Pd 2.75-2.76
2 Fe 0.0000 0.0000 0.3012 [2 per cell]  12 Pd 2.74-2.77
3 Co 0.0000 0.0000 0.5000 [1 per cell]  12 Pd 2.75
4 Pd 0.0000 0.5000 0.0000 [2 per cell]  8 Pd 2.75, 4 Fe 2.76
5 Pd 0.0000 0.5000 0.2003 [4 per cell]  4 Fe 2.75-2.77, 8 Pd 2.75
6 Pd 0.0000 0.5000 0.4003 [4 per cell]  2 Fe 2.74, 8 Pd 2.75, 2 Co 2.75
7 Pd 0.5000 0.5000 0.1002 [2 per cell]  8 Pd 2.75, 4 Fe 2.75
8 Pd 0.5000 0.5000 0.3004 [2 per cell]  8 Pd 2.75, 4 Fe 2.75
9 Pd 0.5000 0.5000 0.5000 [1 per cell]  8 Pd 2.75, 4 Co 2.75

Values from the calculation:
As for the formation enthalpy at 0 K: -0.0675 eV per atom. As for the total magnetization: 0.989 μB/atom. The density of states at the Fermi level comes out at 20.112 states/eV/cell.


For reference, uncorrected energy by record: -3.2179 -3.8678 -7.1216 -3.2434 -3.3796 -6.0099 eV/atom.